A plane-wave DFT calculation with PBE was carried out for crystalline Zr2Ga2Au at its relaxed geometry.

Cell and atoms, written as POSCAR:
```
Zr2Ga2Au
1.0
-3.183 -0.921 5.806
-4.874 -3.278 -3.192
2.065 -3.616 0.559
Au Ga Zr
2 4 4
Direct
0.000 0.000 0.000 Au
0.500 0.500 0.000 Au
0.366 0.866 0.000 Ga
0.866 0.634 0.000 Ga
0.634 0.134 0.000 Ga
0.134 0.366 0.000 Ga
0.167 0.667 0.500 Zr
0.667 0.833 0.500 Zr
0.833 0.333 0.500 Zr
0.333 0.167 0.500 Zr
```

ΔE_f ... -615.6 meV per atom
E ... -59.01 eV per cell
Relative energy among the computed polymorphs ... 0.0 kJ/mol of atoms


A plane-wave DFT calculation with PBE was carried out for crystalline SiHgMo2 at its relaxed geometry.

Cell and atoms, written as POSCAR:
```
SiHgMo2
1.0
9.251 0.009 0.005
8.797 2.864 0.005
8.797 1.400 2.498
Hg Mo Si
1 2 1
Direct
0.750 0.750 0.750 Hg
0.992 0.992 0.992 Mo
0.508 0.508 0.508 Mo
0.250 0.250 0.250 Si
```

E_form (uncorrected) ... 0.33 eV/atom
E ... -26.05 eV per cell
Relative energy among the computed polymorphs ... 15.5 kJ/mol of atoms


A plane-wave DFT calculation with PBE was carried out for crystalline LaSm2AlN at its relaxed geometry.

Cell and atoms, written as POSCAR:
```
LaSm2AlN
1.0
5.041 0.000 0.000
0.000 4.950 0.000
0.000 0.000 4.950
La Sm Al N
1 2 1 1
Direct
0.500 0.000 0.000 La
0.000 0.000 0.500 Sm
0.000 0.500 0.000 Sm
0.500 0.500 0.500 Al
0.000 0.000 0.000 N
```

E_form (uncorrected) ... -0.78 eV/atom
E ... -30.35 eV per cell


A plane-wave DFT calculation with PBE was carried out for crystalline Pa3PdN2O6 at its relaxed geometry.

Cell and atoms, written as POSCAR:
```
Pa3PdN2O6
1.0
4.755 0.000 0.187
0.000 7.018 0.000
-0.426 -3.509 5.431
Pa Pd N O
3 1 2 6
Direct
0.000 0.500 0.000 Pa
0.500 0.500 0.500 Pa
0.500 0.000 0.500 Pa
0.500 0.000 0.000 Pd
0.263 0.668 0.337 N
0.737 0.332 0.663 N
0.746 0.342 0.168 O
0.254 0.658 0.832 O
0.705 0.840 0.681 O
0.295 0.160 0.319 O
0.254 0.174 0.832 O
0.746 0.826 0.168 O
```

E_form (uncorrected) ... -2.24 eV/atom
E ... -106.95 eV per cell


A plane-wave DFT calculation with PBE was carried out for crystalline Mg3PRu at its relaxed geometry.

Cell and atoms, written as POSCAR:
```
Mg3PRu
1.0
4.869 0.000 0.000
0.000 4.869 0.000
0.000 0.000 4.869
Ru Mg P
1 3 1
Direct
0.000 0.000 0.000 Ru
0.000 0.500 0.000 Mg
0.000 0.000 0.500 Mg
0.500 0.000 0.000 Mg
0.500 0.500 0.500 P
```

ΔE_f ... 657.4 meV per atom
E ... -16.18 eV per cell
Relative energy among the computed polymorphs ... 15.7 kJ/mol of atoms


A plane-wave DFT calculation with PBE was carried out for crystalline IrBr2 at its relaxed geometry.

Cell and atoms, written as POSCAR:
```
IrBr2
1.0
4.554 0.000 0.000
2.277 3.944 0.000
2.277 1.315 3.719
Ir Br
1 2
Direct
0.000 0.000 0.000 Ir
0.750 0.750 0.750 Br
0.250 0.250 0.250 Br
```

E_form (uncorrected) ... 0.77 eV/atom
E ... -9.91 eV per cell


A plane-wave DFT calculation with PBE was carried out for crystalline SrPBr2 at its relaxed geometry.

Cell and atoms, written as POSCAR:
```
SrPBr2
1.0
-2.756 4.111 3.134
-0.808 -3.425 3.783
3.814 -0.397 3.874
Br P Sr
2 1 1
Direct
0.000 0.986 0.859 Br
0.500 0.348 0.289 Br
0.000 0.482 0.702 P
0.500 0.684 0.650 Sr
```

E_form (uncorrected) ... -0.84 eV/atom
E ... -13.81 eV per cell
Relative energy among the computed polymorphs ... 3.7 kJ/mol of atoms


A plane-wave DFT calculation with PBE was carried out for crystalline Nb2CuPt2 at its relaxed geometry.

Cell and atoms, written as POSCAR:
```
Nb2CuPt2
1.0
7.204 0.000 0.000
0.000 7.204 0.000
0.000 0.000 3.330
Nb Cu Pt
4 2 4
Direct
0.173 0.673 0.500 Nb
0.673 0.827 0.500 Nb
0.827 0.327 0.500 Nb
0.327 0.173 0.500 Nb
0.000 0.000 0.000 Cu
0.500 0.500 0.000 Cu
0.368 0.868 0.000 Pt
0.868 0.632 0.000 Pt
0.632 0.132 0.000 Pt
0.132 0.368 0.000 Pt
```

ΔE_f ... -246.1 meV per atom
E ... -75.10 eV per cell
Relative energy among the computed polymorphs ... 0.0 kJ/mol of atoms


A plane-wave DFT calculation with PBE was carried out for crystalline MgOs2Pb at its relaxed geometry.

Cell and atoms, written as POSCAR:
```
MgOs2Pb
1.0
2.940 0.000 0.000
0.000 4.204 0.000
0.000 0.000 5.926
Mg Os Pb
1 2 1
Direct
0.500 0.500 0.750 Mg
0.000 0.000 0.950 Os
0.000 0.000 0.550 Os
0.500 0.500 0.250 Pb
```

ΔE_f ... 731.3 meV per atom
E ... -24.84 eV per cell


A plane-wave DFT calculation with PBE was carried out for crystalline LiBi2Pb4 at its relaxed geometry.

Cell and atoms, written as POSCAR:
```
LiBi2Pb4
1.0
-2.014 4.697 2.652
-2.451 1.775 -4.898
-3.639 -6.660 2.789
Li Bi Pb
1 2 4
Direct
0.000 0.000 0.000 Li
0.639 0.639 0.280 Bi
0.361 0.361 0.720 Bi
0.751 0.249 0.500 Pb
0.249 0.751 0.500 Pb
0.500 0.000 0.000 Pb
0.000 0.500 0.000 Pb
```

ΔE_f ... 55.1 meV per atom
E ... -24.12 eV per cell


A plane-wave DFT calculation with PBE was carried out for crystalline PrScZn10 at its relaxed geometry.

Cell and atoms, written as POSCAR:
```
PrScZn10
1.0
-3.164 -2.713 0.765
2.485 -3.702 -2.851
4.321 -2.911 7.547
Pr Sc Zn
1 1 10
Direct
0.000 0.000 0.000 Pr
0.000 0.500 0.500 Sc
0.000 0.000 0.344 Zn
0.000 0.500 0.819 Zn
0.000 0.500 0.181 Zn
0.000 0.000 0.656 Zn
0.500 0.000 0.500 Zn
0.500 0.500 0.000 Zn
0.500 0.252 0.255 Zn
0.500 0.748 0.745 Zn
0.500 0.748 0.255 Zn
0.500 0.252 0.745 Zn
```

ΔE_f ... -244.0 meV per atom
E ... -26.78 eV per cell


A plane-wave DFT calculation with PBE was carried out for crystalline TiCoSb2Te at its relaxed geometry.

Cell and atoms, written as POSCAR:
```
TiCoSb2Te
1.0
5.735 0.000 0.000
0.000 4.488 0.000
0.000 0.000 5.735
Sb Te Co Ti
2 1 1 1
Direct
0.000 0.000 0.500 Sb
0.500 0.000 0.000 Sb
0.000 0.000 0.000 Te
0.000 0.500 0.000 Co
0.500 0.500 0.500 Ti
```

E_form (uncorrected) ... 1.12 eV/atom
E ... -20.77 eV per cell
Relative energy among the computed polymorphs ... 58.2 kJ/mol of atoms


A plane-wave DFT calculation with PBE was carried out for crystalline RbPH2O4 at its relaxed geometry.

Cell and atoms, written as POSCAR:
```
RbPH2O4
1.0
-5.790 -4.740 -2.053
-1.200 -5.924 2.606
-6.172 0.032 2.465
Rb P H O
2 2 4 8
Direct
0.734 0.766 0.766 Rb
0.484 0.516 0.516 Rb
0.251 0.249 0.249 P
0.001 0.999 0.999 P
0.253 0.606 0.158 H
0.984 0.158 0.606 H
0.644 0.997 0.266 H
0.092 0.266 0.997 H
0.959 0.269 0.990 O
0.783 0.990 0.269 O
0.981 0.291 0.467 O
0.260 0.467 0.291 O
0.252 0.800 0.976 O
0.972 0.976 0.800 O
0.450 0.998 0.278 O
0.274 0.278 0.998 O
```

E ... -95.43 eV per cell
Relative energy among the computed polymorphs ... 0.0 kJ/mol of atoms


A plane-wave DFT calculation with PBE was carried out for crystalline KNp6S12 at its relaxed geometry.

Cell and atoms, written as POSCAR:
```
KNp6S12
1.0
8.080 -0.083 -0.116
-2.083 7.807 -0.116
-2.083 -2.683 7.333
K Np S
1 6 12
Direct
0.000 0.000 0.000 K
0.654 0.249 0.249 Np
0.249 0.249 0.654 Np
0.249 0.654 0.249 Np
0.751 0.751 0.346 Np
0.346 0.751 0.751 Np
0.751 0.346 0.751 Np
0.869 0.131 0.500 S
0.818 0.560 0.560 S
0.560 0.560 0.818 S
0.440 0.182 0.440 S
0.440 0.440 0.182 S
0.182 0.440 0.440 S
0.131 0.500 0.869 S
0.500 0.869 0.131 S
0.131 0.869 0.500 S
0.869 0.500 0.131 S
0.500 0.131 0.869 S
0.560 0.818 0.560 S
```

E_form (uncorrected) ... -1.19 eV/atom
E ... -150.89 eV per cell


A plane-wave DFT calculation with PBE was carried out for crystalline Ti2AsO at its relaxed geometry.

Cell and atoms, written as POSCAR:
```
Ti2AsO
1.0
-4.329 2.712 0.190
-2.692 -4.326 0.409
-3.129 -0.558 5.443
As O Ti
2 2 4
Direct
0.000 0.000 0.000 As
0.750 0.250 0.500 As
0.500 0.500 0.000 O
0.250 0.750 0.500 O
0.536 0.125 0.250 Ti
0.214 0.625 0.250 Ti
0.375 0.464 0.750 Ti
0.875 0.786 0.750 Ti
```

E_form (uncorrected) ... -1.35 eV/atom
E ... -61.57 eV per cell
Relative energy among the computed polymorphs ... 1.7 kJ/mol of atoms


A plane-wave DFT calculation with PBE was carried out for crystalline La15Pm2Tm2 at its relaxed geometry.

Cell and atoms, written as POSCAR:
```
La15Pm2Tm2
1.0
8.791 0.001 2.083
1.647 8.635 2.083
0.001 0.001 9.034
La Pm Tm
15 2 2
Direct
0.000 0.500 0.000 La
0.000 0.000 0.500 La
0.500 0.000 0.000 La
0.295 0.000 0.705 La
0.705 0.295 0.000 La
0.000 0.705 0.295 La
0.295 0.705 0.000 La
0.000 0.295 0.705 La
0.705 0.000 0.295 La
0.393 0.831 0.393 La
0.393 0.393 0.831 La
0.831 0.393 0.393 La
0.607 0.169 0.607 La
0.607 0.607 0.169 La
0.169 0.607 0.607 La
0.702 0.702 0.702 Pm
0.298 0.298 0.298 Pm
0.912 0.912 0.912 Tm
0.088 0.088 0.088 Tm
```

ΔE_f ... 211.0 meV per atom
E ... -88.35 eV per cell


A plane-wave DFT calculation with PBE was carried out for crystalline Nd2MgIr at its relaxed geometry.

Cell and atoms, written as POSCAR:
```
Nd2MgIr
1.0
4.095 0.000 0.000
2.047 3.546 0.000
2.047 1.182 10.187
Mg Ir Nd
1 1 2
Direct
0.000 0.000 0.000 Mg
0.500 0.500 0.500 Ir
0.116 0.116 0.651 Nd
0.884 0.884 0.349 Nd
```

ΔE_f ... -132.4 meV per atom
E ... -20.52 eV per cell
Relative energy among the computed polymorphs ... 21.4 kJ/mol of atoms


A plane-wave DFT calculation with PBE was carried out for crystalline Bi2AsPd2 at its relaxed geometry.

Cell and atoms, written as POSCAR:
```
Bi2AsPd2
1.0
7.214 0.000 0.000
0.000 7.214 0.000
0.000 0.000 4.218
As Bi Pd
2 4 4
Direct
0.000 0.000 0.000 As
0.500 0.500 0.000 As
0.166 0.666 0.500 Bi
0.666 0.834 0.500 Bi
0.834 0.334 0.500 Bi
0.334 0.166 0.500 Bi
0.361 0.861 0.000 Pd
0.861 0.639 0.000 Pd
0.639 0.139 0.000 Pd
0.139 0.361 0.000 Pd
```

ΔE_f ... -118.3 meV per atom
E ... -46.78 eV per cell
Relative energy among the computed polymorphs ... 0.0 kJ/mol of atoms


A plane-wave DFT calculation with PBE was carried out for crystalline Ho3Er3Tl2 at its relaxed geometry.

Cell and atoms, written as POSCAR:
```
Ho3Er3Tl2
1.0
5.104 0.000 0.000
-2.552 5.912 0.000
0.000 0.000 15.879
Ho Er Tl
6 6 4
Direct
0.959 0.918 0.396 Ho
0.041 0.082 0.896 Ho
0.959 0.918 0.104 Ho
0.041 0.082 0.604 Ho
0.737 0.475 0.250 Ho
0.263 0.525 0.750 Ho
0.638 0.276 0.466 Er
0.362 0.724 0.966 Er
0.638 0.276 0.034 Er
0.362 0.724 0.534 Er
0.455 0.910 0.250 Er
0.545 0.090 0.750 Er
0.771 0.542 0.864 Tl
0.229 0.458 0.364 Tl
0.771 0.542 0.636 Tl
0.229 0.458 0.136 Tl
```

ΔE_f ... -92.1 meV per atom
E ... -65.78 eV per cell
Relative energy among the computed polymorphs ... 7.5 kJ/mol of atoms


A plane-wave DFT calculation with PBE was carried out for crystalline As2HAuBr at its relaxed geometry.

Cell and atoms, written as POSCAR:
```
As2HAuBr
1.0
-3.656 0.148 -1.195
-0.885 -2.922 2.344
-1.660 5.085 5.710
H As Au Br
1 2 1 1
Direct
0.000 0.000 0.000 H
0.000 0.500 0.000 As
0.500 0.000 0.000 As
0.500 0.500 0.500 Au
0.000 0.000 0.500 Br
```

E ... -14.63 eV per cell
Relative energy among the computed polymorphs ... 0.0 kJ/mol of atoms


A plane-wave DFT calculation with PBE was carried out for crystalline Cr4BiN2 at its relaxed geometry.

Cell and atoms, written as POSCAR:
```
Cr4BiN2
1.0
5.171 0.000 0.000
0.000 5.171 0.000
2.586 2.586 5.753
Cr Bi N
4 1 2
Direct
0.748 0.748 0.504 Cr
0.252 0.252 0.496 Cr
0.000 0.500 0.000 Cr
0.500 0.000 0.000 Cr
0.000 0.000 0.000 Bi
0.606 0.606 0.788 N
0.394 0.394 0.212 N
```

E_form (uncorrected) ... 1.42 eV/atom
E ... -49.12 eV per cell


A plane-wave DFT calculation with PBE was carried out for crystalline Zr2HAu2 at its relaxed geometry.

Cell and atoms, written as POSCAR:
```
Zr2HAu2
1.0
-2.996 -4.519 -2.987
4.183 -4.099 2.007
-2.616 -0.796 3.827
H Au Zr
2 4 4
Direct
0.000 0.000 0.000 H
0.500 0.500 0.000 H
0.158 0.658 0.500 Au
0.658 0.842 0.500 Au
0.842 0.342 0.500 Au
0.342 0.158 0.500 Au
0.335 0.835 0.000 Zr
0.835 0.665 0.000 Zr
0.665 0.165 0.000 Zr
0.165 0.335 0.000 Zr
```

E ... -56.27 eV per cell


A plane-wave DFT calculation with PBE was carried out for crystalline ZnNiN2 at its relaxed geometry.

Cell and atoms, written as POSCAR:
```
ZnNiN2
1.0
4.478 0.000 0.000
0.000 4.478 0.000
2.239 2.239 4.422
Ni Zn N
2 2 4
Direct
0.500 0.500 0.000 Ni
0.250 0.750 0.500 Ni
0.000 0.000 0.000 Zn
0.750 0.250 0.500 Zn
0.590 0.125 0.250 N
0.160 0.625 0.250 N
0.375 0.410 0.750 N
0.875 0.840 0.750 N
```

E_form (uncorrected) ... 0.49 eV/atom
E ... -43.53 eV per cell


| no. | size of the total moment (μB/atom) | volume (Å³ per atom) |
| --- | --- | --- |
| 1 | 0.00 | 18.774 |
| 2 | 0.00 | 16.467 |
| 3 | 0.00 | 24.703 |
| 4 | 0.09 | 15.149 |
| 5 | 0.20 | 23.087 |
| 6 | 0.00 | 22.268 |
| 7 | 0.25 | 36.636 |
| 8 | 0.00 | 17.280 |
| 9 | 0.00 | 18.312 |
| 10 | 0.00 | 33.140 |
| 11 | 0.00 | 17.135 |
| 12 | 0.36 | 29.520 |
| 13 | 0.00 | 13.898 |
| 14 | 1.00 | 24.011 |
| 15 | 0.00 | 16.865 |
| 16 | 0.00 | 36.090 |
| 17 | 0.00 | 36.985 |
| 18 | 0.00 | 21.952 |
| 19 | 0.00 | 29.946 |
| 20 | 0.01 | 23.182 |
| 21 | 1.92 | 21.976 |
| 22 | 0.00 | 18.022 |
| 23 | 0.00 | 11.081 |